[1]
## KLaHgCl6 (GGA-PBE)

Data for crystalline KLaHgCl6 at its relaxed geometry.

abc: 7.1548 7.1548 13.8351
angles: 90.00 90.00 120.00
Element x y z (fractional)
K1 0.0000 0.0000 0.0000
K2 0.0000 0.0000 0.5000
La1 0.3333 0.6667 0.2500
La2 0.6667 0.3333 0.7500
Hg1 0.3333 0.6667 0.7500
Hg2 0.6667 0.3333 0.2500
Cl1 0.0085 0.3695 0.6364
Cl2 0.0085 0.6390 0.8636
Cl3 0.3610 0.3695 0.8636
Cl4 0.3610 0.9915 0.6364
Cl5 0.3695 0.0085 0.1364
Cl6 0.3695 0.3610 0.3636
Cl7 0.6305 0.6390 0.6364
Cl8 0.6305 0.9915 0.8636
Cl9 0.6390 0.0085 0.3636
Cl10 0.6390 0.6305 0.1364
Cl11 0.9915 0.3610 0.1364
Cl12 0.9915 0.6305 0.3636

## Properties
Space-group type   P-31c
Calculated volume   613 Å³ per cell
M_tot   0.000 μB per formula unit
E_tot   -32.6 eV per formula unit
E_form (uncorrected)   -1.6837 eV per atom

[2]
## TbDy3N4 (GGA-PBE)

Data for crystalline TbDy3N4 at its relaxed geometry.

abc: 6.0260 6.9614 6.0260
angles: 90.00 109.46 90.00
Element x y z (fractional)
Tb1 0.0000 0.1252 0.2500
Tb2 0.0000 0.8748 0.7500
Dy1 0.0000 0.3753 0.7500
Dy2 0.0000 0.6247 0.2500
Dy3 0.5000 0.1253 0.7500
Dy4 0.5000 0.3753 0.2500
Dy5 0.5000 0.6247 0.7500
Dy6 0.5000 0.8747 0.2500
N1 0.2503 0.3757 0.5006
N2 0.2503 0.6243 0.0006
N3 0.2512 0.1256 0.9999
N4 0.2512 0.8744 0.4999
N5 0.7488 0.1256 0.5001
N6 0.7488 0.8744 0.0001
N7 0.7497 0.3757 0.9994
N8 0.7497 0.6243 0.4994

## Properties
Space-group type   P2/c
Calculated volume   238 Å³ per cell
M_tot   0.000 μB per formula unit
E_tot   -65.3 eV per formula unit
E_form (uncorrected)   -1.6943 eV per atom

[3]
## InWI2 (GGA-PBE)

Data for crystalline InWI2 at its relaxed geometry.

abc: 5.1381 5.1381 5.1381
angles: 60.00 60.00 60.00
Element x y z (fractional)
In1 0.0000 0.0000 0.0000
W1 0.5000 0.5000 0.5000
I1 0.2500 0.2500 0.2500
I2 0.7500 0.7500 0.7500

## Properties
Space-group type   Fm-3m
Calculated volume   96 Å³ per cell
M_tot   0.000 μB per formula unit
E_tot   -14.0 eV per formula unit
E_form (uncorrected)   1.1948 eV per atom

[4]
## NaAcLa (GGA-PBE)

Data for crystalline NaAcLa at its relaxed geometry.

abc: 3.8170 3.8170 19.3084
angles: 90.00 90.00 120.00
Element x y z (fractional)
Na1 0.0000 0.0000 0.1646
Na2 0.0000 0.0000 0.8354
Ac1 0.3333 0.6667 0.3371
Ac2 0.3333 0.6667 0.6629
La1 0.0000 0.0000 0.5000
La2 0.3333 0.6667 0.0000

## Properties
Space-group type   P-6m2
Calculated volume   244 Å³ per cell
M_tot   0.000 μB per formula unit
E_tot   -10.0 eV per formula unit

[5]
## BaAlRh (GGA-PBE)

Data for crystalline BaAlRh at its relaxed geometry.

abc: 4.2927 4.2927 5.0422
angles: 90.00 90.00 120.00
Element x y z (fractional)
Ba1 0.0000 0.0000 0.0000
Al1 0.6667 0.3333 0.5000
Rh1 0.3333 0.6667 0.5000

## Properties
Space-group type   P-6m2
Calculated volume   80 Å³ per cell
M_tot   0.000 μB per formula unit
E_tot   -14.3 eV per formula unit

[6]
## CaVNiAs2 (GGA-PBE)

Data for crystalline CaVNiAs2 at its relaxed geometry.

abc: 6.5576 6.5576 6.5576
angles: 144.92 144.92 50.45
Element x y z (fractional)
Ca1 0.0000 0.0000 0.0000
V1 0.7500 0.2500 0.5000
Ni1 0.2500 0.7500 0.5000
As1 0.3675 0.3675 0.0000
As2 0.6325 0.6325 0.0000

## Properties
Space-group type   I-4m2
Calculated volume   93 Å³ per cell
M_tot   1.060 μB per formula unit
E_tot   -29.5 eV per formula unit

[7]
## CaCeY2Hg4 (GGA-PBE)

Data for crystalline CaCeY2Hg4 at its relaxed geometry.

abc: 9.2685 9.2685 9.2685
angles: 33.38 33.38 33.38
Element x y z (fractional)
Ca1 0.0000 0.0000 0.0000
Ce1 0.5000 0.5000 0.5000
Y1 0.2520 0.2520 0.2520
Y2 0.7480 0.7480 0.7480
Hg1 0.1244 0.1244 0.1244
Hg2 0.3754 0.3754 0.3754
Hg3 0.6246 0.6246 0.6246
Hg4 0.8756 0.8756 0.8756

## Properties
Space-group type   R-3m
Calculated volume   215 Å³ per cell
M_tot   1.077 μB per formula unit
E_tot   -25.8 eV per formula unit

[8]
## Pm3Y2Sc2 (GGA-PBE)

Data for crystalline Pm3Y2Sc2 at its relaxed geometry.

abc: 3.5107 8.4074 8.5645
angles: 117.96 90.03 102.04
Element x y z (fractional)
Pm1 0.0000 0.0000 0.0000
Pm2 0.2964 0.5923 0.7052
Pm3 0.7036 0.4077 0.2948
Y1 0.3658 0.7327 0.1796
Y2 0.6342 0.2673 0.8204
Sc1 0.0698 0.1394 0.4342
Sc2 0.9302 0.8606 0.5658

## Properties
Space-group type   P-1
Calculated volume   217 Å³ per cell
M_tot   0.000 μB per formula unit
E_tot   -39.6 eV per formula unit